Here is a geometry-optimized TiBrCl structure from Alexandria. Energies are from PBE.

Cell and atoms, written as extended XYZ:
```
3
Lattice="3.4696 0.0000 0.0000 -1.7348 3.0048 0.0000 0.0000 0.0000 7.0539" Properties=species:S:1:pos:R:3 pbc="T T T"
Ti 0.0000 0.0000 0.0000
Br 0.0000 2.0032 5.3626
Cl 1.7348 1.0016 1.5204
```

Properties
- formation energy from raw total energies (eV/atom) = -1.20
- density (g cm⁻³) = 3.7
- excess energy over the best structure of this formula in the dataset (eV per formula unit) = 0.33
- SG = P3m1
- DOS(E_F) (states/eV/atom) = 0.63